GGA-PBE NaThCuS3, relaxed; M_tot = 0.000 μB per cell; space-group type = P2_1/m (11); crystal system = monoclinic; raw formation energy = -1353.8 meV per atom
1.0
-0.983 1.077 3.757
-7.618 -3.240 -1.066
4.415 -6.829 3.113
Na Th Cu S
2 2 2 6
direct
0.250 0.184 0.234
0.750 0.816 0.766
0.250 0.679 0.179
0.750 0.321 0.821
0.250 0.083 0.584
0.750 0.917 0.416
0.750 0.894 0.142
0.250 0.106 0.858
0.250 0.793 0.494
0.750 0.207 0.506
0.750 0.437 0.158
0.250 0.563 0.842

***

GGA-PBE PPtSN2, relaxed; M_tot = 0.000 μB per cell; space-group type = P4/mmm (123); E above lowest polymorph = 0.000 eV per atom; crystal system = tetragonal; raw formation energy = 787.1 meV per atom
1.0
3.313 0.000 0.000
0.000 3.313 0.000
0.000 0.000 7.304
P S Pt N
1 1 1 2
direct
0.000 0.000 0.000
0.000 0.000 0.500
0.500 0.500 0.500
0.000 0.500 0.000
0.500 0.000 0.000

***

GGA-PBE MgTlW2, relaxed; M_tot = 0.000 μB per cell; space-group type = I-4m2 (119); E above lowest polymorph = 0.251 eV per atom; crystal system = tetragonal; formation energy = 716 meV per atom
1.0
-1.202 -0.828 -4.420
4.165 -1.940 -0.747
-2.693 -1.555 3.464
Mg Tl W
1 1 2
direct
0.500 0.500 0.000
0.750 0.250 0.500
0.000 0.000 0.000
0.250 0.750 0.500

***

GGA-PBE LaHo4Er2, relaxed; M_tot = 0.000 μB per cell; space-group type = P2_1/m (11); crystal system = monoclinic; formation energy = 127 meV per atom
1.0
6.106 0.000 -0.397
0.000 6.546 0.000
-2.620 0.000 11.299
La Ho Er
2 8 4
direct
0.183 0.750 0.136
0.817 0.250 0.864
0.639 0.491 0.289
0.983 0.750 0.834
0.017 0.250 0.166
0.639 0.009 0.289
0.863 0.250 0.575
0.361 0.991 0.711
0.361 0.509 0.711
0.137 0.750 0.425
0.612 0.750 0.007
0.388 0.250 0.993
0.300 0.250 0.451
0.700 0.750 0.549

***

GGA-PBE B2PdW, relaxed; M_tot = 0.000 μB per cell; space-group type = Fm-3m (225); E above lowest polymorph = 0.000 eV per atom; crystal system = cubic; formation energy = 529 meV per atom
1.0
-1.302 -3.346 -1.627
-3.677 -0.207 -1.407
-0.615 -0.192 -3.890
B Pd W
2 1 1
direct
0.250 0.250 0.250
0.750 0.750 0.750
0.000 0.000 0.000
0.500 0.500 0.500

***

GGA-PBE Pm3Sm3Mg, relaxed; M_tot = 0.003 μB per cell; space-group type = P2_1/m (11); E above lowest polymorph = 0.000 eV per atom; crystal system = monoclinic; formation energy = 22 meV per atom
1.0
-3.682 1.120 -4.260
-0.300 -9.347 -2.198
-6.228 3.653 6.343
Pm Sm Mg
6 6 2
direct
0.750 0.757 0.814
0.750 0.057 0.243
0.750 0.186 0.944
0.250 0.243 0.186
0.250 0.943 0.757
0.250 0.814 0.056
0.250 0.522 0.625
0.250 0.102 0.477
0.250 0.374 0.897
0.750 0.478 0.375
0.750 0.898 0.523
0.750 0.626 0.103
0.750 0.333 0.667
0.250 0.667 0.333